## ZrAl (PBE)

Data for a relaxed ZrAl crystal.

```
12
Lattice="6.967 -1.757 0.000 0.065 7.264 0.000 0.000 0.000 4.640" Properties=species:S:1:pos:R:3 pbc="T T T"
Al 1.908 2.132 0.000
Al 6.327 1.634 0.000
Al 1.762 5.175 0.000
Al 6.822 0.346 2.320
Al 2.257 3.886 2.320
Al 6.676 3.389 2.320
Zr 6.764 -1.643 0.000
Zr 3.825 -0.023 0.000
Zr 4.353 3.699 0.000
Zr 1.755 -0.100 2.320
Zr 4.231 1.821 2.320
Zr 4.758 5.543 2.320
```

Results
- Final energy: -12.8 eV/f.u.

***

## LuAgNO (PBE)

Data for a relaxed LuAgNO crystal.

```
8
Lattice="-1.857 1.808 -2.802 1.590 4.841 2.070 5.141 -0.181 -3.525" Properties=species:S:1:pos:R:3 pbc="T T T"
Ag 2.623 2.346 -0.225
Ag 4.897 4.715 -0.203
Lu 1.584 5.703 0.030
Lu 4.078 3.166 -3.260
N 3.034 4.228 0.717
N 4.127 1.740 -1.612
O 0.353 2.686 -1.101
O 4.912 4.974 -2.646
```

Results
- Relative energy among the computed polymorphs: 0.1519 eV/atom

***

## Hf3Zr3NiSb2 (PBE)

Data for a relaxed Hf3Zr3NiSb2 crystal.

```
9
Lattice="7.755 0.000 0.000 -3.878 6.716 0.000 0.000 0.000 3.638" Properties=species:S:1:pos:R:3 pbc="T T T"
Hf 5.902 0.000 1.819
Hf 0.927 1.605 1.819
Hf -2.951 5.111 1.819
Ni 0.000 0.000 0.000
Sb 3.878 2.239 1.819
Sb 0.000 4.477 1.819
Zr 3.112 0.000 0.000
Zr -1.556 2.695 0.000
Zr 2.322 4.021 0.000
```

Results
- Relative energy among the computed polymorphs: 0.0000 eV/atom

***

## NbTlAgSe3 (PBE)

Data for a relaxed NbTlAgSe3 crystal.

```
12
Lattice="7.440 -1.870 0.000 7.440 1.870 0.000 0.000 0.000 10.354" Properties=species:S:1:pos:R:3 pbc="T T T"
Ag 6.631 0.000 2.589
Ag 8.249 0.000 7.766
Nb 0.000 0.000 0.000
Nb 0.000 0.000 5.177
Se 5.549 0.000 0.269
Se 1.055 0.000 2.589
Se 5.549 0.000 4.908
Se 9.331 0.000 5.446
Se 13.825 0.000 7.766
Se 9.331 0.000 10.085
Tl 11.194 0.000 2.589
Tl 3.686 0.000 7.766
```

Results
- Final energy: -28.2 eV/f.u.

***

## Dy4Y3Ni2S2 (PBE)

Data for a relaxed Dy4Y3Ni2S2 crystal.

```
11
Lattice="-1.882 7.429 4.579 1.882 -7.429 4.579 1.882 7.429 -4.579" Properties=species:S:1:pos:R:3 pbc="T T T"
Dy 0.000 2.747 0.912
Dy 1.882 -1.768 3.602
Dy 1.882 1.768 3.602
Dy 0.000 12.111 0.912
Ni 0.000 3.851 3.711
Ni 1.882 3.578 -0.869
S 0.000 0.000 2.177
S 0.000 7.429 1.332
Y 0.000 1.988 6.753
Y 0.000 7.429 4.505
Y 1.882 5.440 2.174
```

Results
- Final energy: -66.5 eV/f.u.

***

## LuBeFeGe (PBE)

Data for a relaxed LuBeFeGe crystal.

```
4
Lattice="-2.953 -3.095 -0.568 -4.040 1.047 -1.099 -1.458 -0.890 -3.963" Properties=species:S:1:pos:R:3 pbc="T T T"
Be -2.113 -0.735 -1.407
Fe -6.338 -2.204 -4.222
Ge 0.000 0.000 0.000
Lu -4.225 -1.469 -2.815
```

Results
- Relative energy among the computed polymorphs: 0.0549 eV/atom

***

## TmMgZnN2 (PBE)

Data for a relaxed TmMgZnN2 crystal.

```
5
Lattice="3.306 0.000 0.000 -1.653 2.863 0.000 0.000 0.000 7.149" Properties=species:S:1:pos:R:3 pbc="T T T"
Mg 0.000 0.000 1.180
N 1.653 0.954 2.212
N 0.000 0.000 4.953
Tm 0.000 1.909 3.598
Zn 1.653 0.954 5.929
```

Results
- Final energy: -27.7 eV/f.u.

***

## Zr3Co3Ni2 (PBE)

Data for a relaxed Zr3Co3Ni2 crystal.

```
8
Lattice="-3.324 3.184 -3.458 1.986 -5.093 -1.806 -3.366 -1.855 1.528" Properties=species:S:1:pos:R:3 pbc="T T T"
Co -1.587 -1.966 -0.285
Co -2.330 -3.025 -3.207
Co -0.485 -4.793 -1.287
Ni 0.000 0.000 0.000
Ni -3.237 -0.502 -2.143
Zr 0.987 -2.545 -0.914
Zr -0.662 -0.965 -2.630
Zr 0.323 -3.492 -3.526
```

Results
- Energy of formation from the pure elements: 0.07 eV/atom
- Relative energy among the computed polymorphs: 0.3539 eV/atom